[1]
Here is a relaxed structure of La8Al2Pd from Alexandria. Energies are from PBE.

Cell and atoms, written as POSCAR:
```
La8Al2Pd
1.0
5.089 0.000 -1.435
-0.595 6.627 -2.111
0.049 0.576 9.916
La Pd Al
8 1 2
direct
0.209 0.281 0.419
0.791 0.719 0.581
0.407 0.551 0.813
0.344 0.042 0.688
0.017 0.783 0.033
0.656 0.958 0.312
0.593 0.449 0.187
0.983 0.217 0.967
0.500 0.000 0.000
0.818 0.278 0.636
0.182 0.722 0.364
```

Output
ΔH_f (0 K), kJ/mol of formula units: -295
Space-group type: C2/m, No. 12



[2]
Here is a relaxed structure of LaAl8Pd4 from Alexandria. Energies are from PBE.

Cell and atoms, written as POSCAR:
```
LaAl8Pd4
1.0
-3.709 -1.075 -3.844
1.064 -6.009 -3.208
-5.461 -3.472 2.378
Al Pd La
8 4 1
direct
0.650 0.350 0.350
0.500 0.224 0.776
0.500 0.776 0.224
0.000 0.650 0.350
0.724 0.776 0.776
0.276 0.224 0.224
0.350 0.650 0.650
0.000 0.350 0.650
0.500 0.500 0.000
0.000 0.000 0.500
0.000 0.500 0.000
0.500 0.000 0.500
0.000 0.000 0.000
```

Output
ΔH_f (0 K), kJ/mol of formula units: -897
Space-group type: I4/mmm, No. 139